A relaxed structure of BiSbMo, computed with PBE.

abc: 3.261 3.262 14.700
angles: 86.25 86.25 89.99
Space group P-1 (No. 2)
Unique sites:
Bi  0.011  0.016  0.395 (multiplicity 2)
Sb  0.300  0.300  0.829 (multiplicity 2)
Mo  0.236  0.236  0.047 (multiplicity 2)

## Properties
For the calculated volume, the calculation gives 25.95 Å³/atom. For the uncorrected formation energy, the calculation gives 0.2 eV/f.u. For the uncorrected energy, the calculation gives -6.206 eV/atom.

---

A relaxed structure of Bi2SbMo, computed with PBE.

abc: 6.634 6.634 13.937
angles: 90.00 90.00 90.00
Space group I-42d (No. 122)
Unique sites:
Bi  0.212  0.250  0.125 (multiplicity 8)
Sb  0.000  0.000  0.500 (multiplicity 4)
Mo  0.000  0.000  0.000 (multiplicity 4)

## Properties
For the calculated volume, the calculation gives 38.34 Å³/atom. For the uncorrected formation energy, the calculation gives 3.4 eV/f.u. For the uncorrected energy, the calculation gives -4.827 eV/atom.

---

A relaxed structure of BiSbMo3, computed with PBE.

abc: 4.978 4.978 4.978
angles: 90.00 90.00 90.00
Space group Pm-3m (No. 221)
Unique sites:
Bi  0.000  0.000  0.000 (multiplicity 1)
Sb  0.500  0.500  0.500 (multiplicity 1)
Mo  0.000  0.500  0.500 (multiplicity 3)

## Properties
For the calculated volume, the calculation gives 24.68 Å³/atom. For the uncorrected formation energy, the calculation gives 8.9 eV/f.u. For the uncorrected energy, the calculation gives -6.327 eV/atom.

---

A relaxed structure of BiSb3Mo, computed with PBE.

abc: 5.263 5.263 5.263
angles: 90.00 90.00 90.00
Space group Pm-3m (No. 221)
Unique sites:
Bi  0.000  0.000  0.000 (multiplicity 1)
Sb  0.000  0.500  0.500 (multiplicity 3)
Mo  0.500  0.500  0.500 (multiplicity 1)

## Properties
For the calculated volume, the calculation gives 29.16 Å³/atom. For the uncorrected formation energy, the calculation gives 2.4 eV/f.u. For the uncorrected energy, the calculation gives -4.932 eV/atom.

---

A relaxed structure of SiBiSbMo2, computed with PBE.

abc: 5.249 5.249 5.163
angles: 90.00 90.00 90.00
Space group P4/mmm (No. 123)
Unique sites:
Si  0.000  0.000  0.000 (multiplicity 1)
Bi  0.000  0.000  0.500 (multiplicity 1)
Sb  0.500  0.500  0.000 (multiplicity 1)
Mo  0.000  0.500  0.500 (multiplicity 2)

## Properties
For the calculated volume, the calculation gives 28.45 Å³/atom. For the uncorrected formation energy, the calculation gives 10.1 eV/f.u. For the uncorrected energy, the calculation gives -4.991 eV/atom.

---

A relaxed structure of TcBiSbMo2, computed with PBE.

abc: 5.014 5.014 5.641
angles: 90.00 90.00 90.00
Space group P4/mmm (No. 123)
Unique sites:
Tc  0.000  0.000  0.000 (multiplicity 1)
Bi  0.500  0.500  0.000 (multiplicity 1)
Sb  0.500  0.500  0.500 (multiplicity 1)
Mo  0.000  0.500  0.500 (multiplicity 2)

## Properties
For the calculated volume, the calculation gives 28.36 Å³/atom. For the uncorrected formation energy, the calculation gives 11.3 eV/f.u. For the uncorrected energy, the calculation gives -5.756 eV/atom.